# Mg2Zn5Cu2Ru

A relaxed structure of Mg2Zn5Cu2Ru (PBE, Alexandria via LeMat-Bulk).

```
Mg2Zn5Cu2Ru
1.0
8.688 0.000 0.000
0.000 8.688 0.000
0.000 0.000 3.971
Mg Zn Cu Ru
4 10 4 2
direct
0.179 0.321 0.000
0.321 0.821 0.000
0.679 0.179 0.000
0.821 0.679 0.000
0.000 0.500 0.500
0.064 0.798 0.500
0.202 0.064 0.500
0.298 0.564 0.500
0.436 0.298 0.500
0.500 0.000 0.500
0.564 0.702 0.500
0.702 0.436 0.500
0.798 0.936 0.500
0.936 0.202 0.500
0.116 0.616 0.000
0.384 0.116 0.000
0.616 0.884 0.000
0.884 0.384 0.000
0.000 0.000 0.000
0.500 0.500 0.000
```

Calculated formation energy (meV/atom): -103
Symmetry: P4/mbm
E_tot (eV/atom): -2.805

=====

# MgZrCuRu

A relaxed structure of MgZrCuRu (PBE, Alexandria via LeMat-Bulk).

```
MgZrCuRu
1.0
0.000 3.212 3.212
3.212 0.000 3.212
3.212 3.212 0.000
Mg Zr Cu Ru
1 1 1 1
direct
0.000 0.000 0.000
0.500 0.500 0.500
0.750 0.750 0.750
0.250 0.250 0.250
```

Calculated formation energy (meV/atom): -218
Symmetry: F-43m
E_tot (eV/atom): -6.097

=====

# MgCu2S

A relaxed structure of MgCu2S (PBE, Alexandria via LeMat-Bulk).

```
MgCu2S
1.0
-2.654 2.654 6.156
2.654 -2.654 6.156
2.654 2.654 -6.156
Mg Cu S
2 4 2
direct
0.000 0.000 0.000
0.750 0.250 0.500
0.227 0.625 0.102
0.375 0.477 0.602
0.523 0.125 0.898
0.875 0.773 0.398
0.250 0.750 0.500
0.500 0.500 0.000
```

Distance to the lowest polymorph of the same formula (meV per atom): 0
Symmetry: I-42d
Formation energy from raw total energies (meV per atom): 79
E_tot (eV/atom): -3.400

=====

# MgCuS2

A relaxed structure of MgCuS2 (PBE, Alexandria via LeMat-Bulk).

```
MgCuS2
1.0
1.816 1.048 5.916
-1.816 1.048 5.916
0.000 -2.097 5.916
Mg Cu S
1 1 2
direct
0.000 0.000 0.000
0.834 0.834 0.834
0.414 0.414 0.414
0.581 0.581 0.581
```

Symmetry: R3m
Formation energy from raw total energies (meV per atom): -495
E_tot (eV/atom): -3.981

=====

# Mg3CuS

A relaxed structure of Mg3CuS (PBE, Alexandria via LeMat-Bulk).

```
Mg3CuS
1.0
4.838 0.000 0.000
0.000 4.838 0.000
0.000 0.000 4.838
Mg Cu S
3 1 1
direct
0.000 0.000 0.500
0.000 0.500 0.000
0.500 0.000 0.000
0.000 0.000 0.000
0.500 0.500 0.500
```

Distance to the lowest polymorph of the same formula (meV per atom): 93
Symmetry: Pm-3m
Formation energy from raw total energies (meV per atom): 101
E_tot (eV/atom): -2.500

=====

# MgCu2S2

A relaxed structure of MgCu2S2 (PBE, Alexandria via LeMat-Bulk).

```
MgCu2S2
1.0
-1.770 1.770 6.321
1.770 -1.770 6.321
1.770 1.770 -6.321
Mg Cu S
1 2 2
direct
0.000 0.000 0.000
0.250 0.750 0.500
0.750 0.250 0.500
0.380 0.380 0.000
0.620 0.620 0.000
```

Distance to the lowest polymorph of the same formula (meV per atom): 0
Symmetry: I4/mmm
Formation energy from raw total energies (meV per atom): -371
E_tot (eV/atom): -3.979

=====

# MgCu3S

A relaxed structure of MgCu3S (PBE, Alexandria via LeMat-Bulk).

```
MgCu3S
1.0
4.434 0.000 0.000
0.000 4.434 0.000
0.000 0.000 4.434
Mg Cu S
1 3 1
direct
0.000 0.000 0.000
0.000 0.500 0.500
0.500 0.000 0.500
0.500 0.500 0.000
0.500 0.500 0.500
```

Distance to the lowest polymorph of the same formula (meV per atom): 0
Symmetry: Pm-3m
Formation energy from raw total energies (meV per atom): 307
E_tot (eV/atom): -3.295

=====

# MgCuS2

A relaxed structure of MgCuS2 (PBE, Alexandria via LeMat-Bulk).

```
MgCuS2
1.0
1.878 1.084 7.026
-1.878 1.084 7.026
0.000 -2.168 7.026
Mg Cu S
1 1 2
direct
0.000 0.000 0.000
0.500 0.500 0.500
0.400 0.400 0.400
0.600 0.600 0.600
```

Symmetry: R-3m
Formation energy from raw total energies (meV per atom): -536
E_tot (eV/atom): -4.022